Density functional theory data (meta-GGA SCAN) for ZrPt3F at its PBEsol-relaxed geometry.

Cell lengths 4.326, 4.326, 4.326 Å; angles 90.00, 90.00, 90.00 degrees
Fractional coordinates of all 5 atoms:
Zr: 0.000 0.000 0.000
Pt: 0.000 0.500 0.500
Pt: 0.500 0.000 0.500
Pt: 0.500 0.500 0.000
F: 0.500 0.500 0.500

Summary:
uncorrected formation energy = 0.076 eV per atom
calculated volume = 16.2 Å³/atom

---

Density functional theory data (meta-GGA SCAN) for Ti2B2Rh at its PBEsol-relaxed geometry.

Cell lengths 5.701, 5.701, 3.324 Å; angles 90.00, 90.00, 90.00 degrees
Fractional coordinates of all 10 atoms:
Ti: 0.175 0.325 0.000
Ti: 0.325 0.825 0.000
Ti: 0.675 0.175 0.000
Ti: 0.825 0.675 0.000
B: 0.112 0.612 0.500
B: 0.388 0.112 0.500
B: 0.612 0.888 0.500
B: 0.888 0.388 0.500
Rh: 0.000 0.000 0.500
Rh: 0.500 0.500 0.500

Summary:
calculated formation energy = -0.963 eV/atom
calculated volume = 10.8 Å³/atom

---

Density functional theory data (meta-GGA SCAN) for SbTe2Ru at its PBEsol-relaxed geometry.

Cell lengths 4.910, 4.910, 6.345 Å; angles 109.84, 109.84, 45.51 degrees
Fractional coordinates of all 4 atoms:
Sb: 0.000 0.000 0.000
Te: 0.660 0.660 0.679
Te: 0.847 0.847 0.327
Ru: 0.290 0.290 0.996

Summary:
uncorrected formation energy = -0.031 eV per atom
calculated volume = 25.4 Å³/atom

---

Density functional theory data (meta-GGA SCAN) for Zr2TlAs at its PBEsol-relaxed geometry.

Cell lengths 4.848, 4.848, 4.848 Å; angles 60.00, 60.00, 60.00 degrees
Fractional coordinates of all 4 atoms:
Zr: 0.250 0.250 0.250
Zr: 0.750 0.750 0.750
Tl: 0.000 0.000 0.000
As: 0.500 0.500 0.500

Summary:
energy above the lowest structure with this stoichiometry = 93.9 meV per atom
calculated formation energy = -0.352 eV/atom
calculated volume = 20.1 Å³/atom

---

Density functional theory data (meta-GGA SCAN) for KTl3 at its PBEsol-relaxed geometry.

Cell lengths 4.909, 4.909, 4.909 Å; angles 90.00, 90.00, 90.00 degrees
Fractional coordinates of all 4 atoms:
K: 0.000 0.000 0.000
Tl: 0.000 0.500 0.500
Tl: 0.500 0.000 0.500
Tl: 0.500 0.500 0.000

Summary:
calculated formation energy = -0.083 eV/atom
calculated volume = 29.6 Å³/atom

---

Density functional theory data (meta-GGA SCAN) for Al2IF at its PBEsol-relaxed geometry.

Cell lengths 5.003, 5.003, 5.003 Å; angles 60.00, 60.00, 60.00 degrees
Fractional coordinates of all 4 atoms:
Al: 0.250 0.250 0.250
Al: 0.750 0.750 0.750
I: 0.000 0.000 0.000
F: 0.500 0.500 0.500

Summary:
uncorrected formation energy = -0.142 eV per atom
calculated volume = 22.1 Å³/atom

---

Density functional theory data (meta-GGA SCAN) for PrZnAgAs2 at its PBEsol-relaxed geometry.

Cell lengths 4.261, 4.261, 6.865 Å; angles 90.00, 90.00, 120.00 degrees
Fractional coordinates of all 5 atoms:
Pr: 0.000 0.000 0.000
Zn: 0.333 0.667 0.614
Ag: 0.667 0.333 0.348
As: 0.333 0.667 0.238
As: 0.667 0.333 0.737

Summary:
calculated formation energy = -0.723 eV/atom
calculated volume = 21.6 Å³/atom

---

Density functional theory data (meta-GGA SCAN) for HfScCl2 at its PBEsol-relaxed geometry.

Cell lengths 6.571, 6.571, 6.571 Å; angles 125.94, 125.94, 79.99 degrees
Fractional coordinates of all 8 atoms:
Hf: 0.000 0.000 0.000
Hf: 0.750 0.250 0.500
Sc: 0.250 0.750 0.500
Sc: 0.500 0.500 0.000
Cl: 0.131 0.125 0.506
Cl: 0.375 0.869 0.994
Cl: 0.619 0.625 0.494
Cl: 0.875 0.381 0.006

Summary:
uncorrected formation energy = -0.351 eV per atom
calculated volume = 22.4 Å³/atom

---

> The highest calculated volume belongs to which entry?

KTl3

---

> calculated volume of number 4 (Zr2TlAs)?

20.1 Å³/atom